CrRe2NiB, optimized geometry, DFT PBE; E_tot = -9.0487 eV per atom; V = 12.72 Å³ per atom; symmetry = P4/mmm (123)
1.0
-1.531 -3.298 -1.801
2.939 0.004 -2.506
2.142 -2.363 2.508
Re Cr B Ni
2 1 1 1
Cartesian
-0.765 -1.649 -0.900 Re
1.071 -1.182 1.254 Re
1.469 0.002 -1.253 Cr
0.000 0.000 0.000 B
1.775 -2.829 -0.899 Ni


Cr2NiBRu, optimized geometry, DFT PBE; E_tot = -6.9447 eV per atom; V = 13.01 Å³ per atom; symmetry = P4/mmm (123)
1.0
4.268 0.000 0.000
0.000 3.571 0.000
0.000 0.000 4.268
Ni Cr B Ru
1 2 1 1
Cartesian
0.000 0.000 0.000 Ni
2.134 0.000 0.000 Cr
0.000 0.000 2.134 Cr
0.000 1.785 0.000 B
2.134 1.785 2.134 Ru


Cr2NiBS, optimized geometry, DFT PBE; E_tot = -6.1550 eV per atom; formation energy from raw total energies = 5.06 eV/f.u.; V = 13.63 Å³ per atom; symmetry = P4/mmm (123)
1.0
4.298 0.000 0.000
0.000 3.688 0.000
0.000 0.000 4.298
S Ni B Cr
1 1 1 2
Cartesian
0.000 0.000 0.000 S
2.149 1.844 2.149 Ni
0.000 1.844 0.000 B
0.000 0.000 2.149 Cr
2.149 0.000 0.000 Cr


VCrNi2B, optimized geometry, DFT PBE; E_tot = -5.9740 eV per atom; V = 13.59 Å³ per atom; symmetry = P4/mmm (123)
1.0
4.152 0.000 0.000
0.000 3.941 0.000
0.000 0.000 4.152
Ni Cr B V
2 1 1 1
Cartesian
2.076 0.000 0.000 Ni
0.000 0.000 2.076 Ni
2.076 1.970 2.076 Cr
0.000 1.970 0.000 B
0.000 0.000 0.000 V


NpCrB4, optimized geometry, DFT PBE; E_tot = -8.7127 eV per atom; V = 9.66 Å³ per atom; symmetry = Pbam (55)
1.0
3.429 0.000 0.000
0.000 5.912 0.000
0.000 0.000 11.433
Np B Cr
4 16 4
Cartesian
0.000 0.734 1.726 Np
0.000 2.222 7.443 Np
0.000 3.690 3.990 Np
0.000 5.178 9.707 Np
1.715 2.798 2.191 B
1.715 5.107 0.380 B
1.715 3.632 10.902 B
1.715 2.151 5.336 B
1.715 4.245 7.837 B
1.715 1.667 3.596 B
1.715 2.280 0.531 B
1.715 0.805 11.053 B
1.715 4.623 2.121 B
1.715 0.158 7.907 B
1.715 5.236 5.186 B
1.715 3.761 6.097 B
1.715 3.114 9.242 B
1.715 5.754 3.526 B
1.715 1.289 9.312 B
1.715 0.676 6.247 B
0.000 0.750 4.757 Cr
0.000 2.206 10.473 Cr
0.000 3.706 0.960 Cr
0.000 5.162 6.676 Cr


NpCrB2, optimized geometry, DFT PBE; E_tot = -8.8078 eV per atom; V = 11.78 Å³ per atom; symmetry = R-3m (166)
1.0
-2.484 1.314 -1.192
-2.449 0.506 1.751
0.457 5.866 1.604
B Np Cr
2 1 1
Cartesian
-1.232 1.638 0.464 B
-3.243 6.049 1.699 B
-2.238 3.843 1.082 Np
0.000 0.000 0.000 Cr